1.
The following is a PBE calculation of an optimized crystal structure of PrMgTlBr6, from the Alexandria database.

calculated volume: 37.46 Å³ per atom
formation energy without anion corrections: -1517 meV per atom
total magnetic moment: 0.000 μB/cell
symmetry: No. 163

Cell lengths 7.345, 7.345, 14.434 Å; angles 90.00, 90.00, 120.00 degrees
Positions (direct):
Br1 0.641 0.618 0.639
Mg1 0.333 0.667 0.250
Br2 0.978 0.618 0.861
Br3 0.359 0.978 0.139
Br4 0.978 0.359 0.639
Tl1 0.000 0.000 0.000
Pr1 0.667 0.333 0.250
Br5 0.382 0.022 0.639
Br6 0.382 0.359 0.861
Br7 0.618 0.978 0.361
Br8 0.022 0.641 0.361
Pr2 0.333 0.667 0.750
Br9 0.641 0.022 0.861
Mg2 0.667 0.333 0.750
Br10 0.618 0.641 0.139
Tl2 0.000 0.000 0.500
Br11 0.359 0.382 0.361
Br12 0.022 0.382 0.139


2.
The following is a PBE calculation of an optimized crystal structure of SmSeI, from the Alexandria database.

calculated volume: 39.52 Å³ per atom
formation energy without anion corrections: -1639 meV per atom
total magnetic moment: 0.000 μB/cell
symmetry: No. 156

Cell lengths 4.354, 4.354, 7.221 Å; angles 90.00, 90.00, 120.00 degrees
Positions (direct):
I1 0.000 0.000 0.082
Se1 0.333 0.667 0.550
Sm1 0.667 0.333 0.368


- Number 2 is which compound?
  SmSeI


- Look up the calculated volume of the first one.
  37.46 Å³ per atom


- Which of these has the lowest formation energy without anion corrections?
  SmSeI